# MnNiF3 PBE+U relaxed
data_MnNiF3
_chemical_formula_sum 'Mn1 Ni1 F3'
_cell_length_a 4.068
_cell_length_b 4.068
_cell_length_c 4.068
_cell_angle_alpha 90.00
_cell_angle_beta 90.00
_cell_angle_gamma 90.00
_space_group_name_H-M_alt 'P 1'
_space_group_IT_number 1
loop_
_space_group_symop_operation_xyz
'x,y,z'
loop_
_atom_site_label
_atom_site_fract_x
_atom_site_fract_y
_atom_site_fract_z
Mn1 0.000 0.000 0.000
Ni1 0.500 0.500 0.500
F1 0.000 0.500 0.500
F2 0.500 0.000 0.500
F3 0.500 0.500 0.000
# distance to the lowest polymorph of the same formula	0	meV/atom
# magnetic moment	3.8	Bohr magnetons per cell
# volume	67.31	Å³/cell